[1]
A plane-wave DFT calculation with PBE was carried out for a relaxed Mg2SiSb crystal. Values from VASP.

Geometry as Quantum ESPRESSO input:
```
&SYSTEM
  ibrav = 0, nat = 4, ntyp = 3
/
ATOMIC_SPECIES
Mg 24.30 Mg.upf
Si 28.09 Si.upf
Sb 121.76 Sb.upf
ATOMIC_POSITIONS crystal
Mg 0.989 0.989 0.034
Si 0.250 0.250 0.250
Mg 0.511 0.511 0.466
Sb 0.750 0.750 0.750
CELL_PARAMETERS angstrom
4.693 -0.177 0.028
3.187 3.450 0.028
1.378 0.572 5.231
```

crystal system: monoclinic
formation energy (no corrections): 0.00 eV/atom
ΔE to the lowest computed polymorph: 0.0 meV per atom


[2]
A plane-wave DFT calculation with PBE was carried out for a relaxed TlBi3Pb3 crystal. Values from VASP.

Geometry as Quantum ESPRESSO input:
```
&SYSTEM
  ibrav = 0, nat = 14, ntyp = 3
/
ATOMIC_SPECIES
Tl 204.38 Tl.upf
Pb 207.20 Pb.upf
Bi 208.98 Bi.upf
ATOMIC_POSITIONS crystal
Tl 0.665 0.665 0.006
Pb 0.117 0.451 0.651
Bi 0.262 0.600 0.209
Bi 0.600 0.929 0.209
Pb 0.451 0.781 0.651
Bi 0.929 0.262 0.209
Bi 0.400 0.071 0.791
Bi 0.071 0.738 0.791
Pb 0.219 0.883 0.349
Pb 0.781 0.117 0.651
Bi 0.738 0.400 0.791
Pb 0.883 0.549 0.349
Tl 0.335 0.335 0.994
Pb 0.549 0.219 0.349
CELL_PARAMETERS angstrom
9.217 0.000 0.000
4.608 7.982 0.000
4.608 2.661 7.239
```

crystal system: trigonal
ΔE to the lowest computed polymorph: 0.0 meV per atom
calculated formation energy: 0.0411 eV per atom


[3]
A plane-wave DFT calculation with PBE was carried out for a relaxed Cs3Cd4Bi4 crystal. Values from VASP.

Geometry as Quantum ESPRESSO input:
```
&SYSTEM
  ibrav = 0, nat = 11, ntyp = 3
/
ATOMIC_SPECIES
Bi 208.98 Bi.upf
Cd 112.41 Cd.upf
Cs 132.91 Cs.upf
ATOMIC_POSITIONS crystal
Bi 0.200 0.700 0.400
Bi 0.553 0.553 0.106
Cd 0.248 0.248 0.496
Bi 0.800 0.300 0.600
Cd 0.098 0.598 0.196
Cd 0.902 0.402 0.804
Cs 0.000 0.000 0.000
Cs 0.650 0.150 0.300
Cd 0.752 0.752 0.504
Cs 0.350 0.850 0.700
Bi 0.447 0.447 0.894
CELL_PARAMETERS angstrom
5.280 0.000 0.000
0.000 5.769 0.000
-2.640 -2.884 14.759
```

crystal system: orthorhombic
calculated formation energy: -0.2320 eV per atom


[4]
A plane-wave DFT calculation with PBE was carried out for a relaxed Zr3CdH crystal. Values from VASP.

Geometry as Quantum ESPRESSO input:
```
&SYSTEM
  ibrav = 0, nat = 10, ntyp = 3
/
ATOMIC_SPECIES
Zr 91.22 Zr.upf
Cd 112.41 Cd.upf
H 1.01 H.upf
ATOMIC_POSITIONS crystal
Zr 0.333 0.667 0.081
Cd 0.667 0.333 0.250
H 0.000 0.000 0.000
Cd 0.333 0.667 0.750
H 0.000 0.000 0.500
Zr 0.333 0.667 0.419
Zr 0.667 0.333 0.919
Zr 0.000 0.000 0.250
Zr 0.667 0.333 0.581
Zr 0.000 0.000 0.750
CELL_PARAMETERS angstrom
4.273 -2.467 0.000
0.000 4.934 0.000
0.000 0.000 8.885
```

crystal system: hexagonal
ΔE to the lowest computed polymorph: 338.4 meV per atom


[5]
A plane-wave DFT calculation with PBE was carried out for a relaxed Ho4ErSn crystal. Values from VASP.

Geometry as Quantum ESPRESSO input:
```
&SYSTEM
  ibrav = 0, nat = 12, ntyp = 3
/
ATOMIC_SPECIES
Ho 164.93 Ho.upf
Sn 118.71 Sn.upf
Er 167.26 Er.upf
ATOMIC_POSITIONS crystal
Ho 0.275 0.462 0.549
Ho 0.456 0.034 0.911
Sn 0.156 0.211 0.312
Er 0.407 0.546 0.813
Ho 0.860 0.221 0.720
Ho 0.315 0.959 0.631
Sn 0.844 0.711 0.688
Ho 0.140 0.721 0.280
Ho 0.725 0.962 0.451
Ho 0.544 0.534 0.089
Er 0.593 0.046 0.187
Ho 0.685 0.459 0.369
CELL_PARAMETERS angstrom
5.151 0.000 0.000
0.000 6.399 0.000
-2.575 0.000 12.166
```

crystal system: orthorhombic
calculated formation energy: 0.0780 eV per atom


[6]
A plane-wave DFT calculation with PBE was carried out for a relaxed CsHgBrCl2 crystal. Values from VASP.

Geometry as Quantum ESPRESSO input:
```
&SYSTEM
  ibrav = 0, nat = 10, ntyp = 4
/
ATOMIC_SPECIES
Cs 132.91 Cs.upf
Br 79.90 Br.upf
Hg 200.59 Hg.upf
Cl 35.45 Cl.upf
ATOMIC_POSITIONS crystal
Cs 0.763 0.526 0.750
Br 0.540 0.080 0.250
Hg 0.000 0.000 0.000
Br 0.460 0.920 0.750
Cs 0.237 0.474 0.250
Cl 0.854 0.708 0.445
Cl 0.146 0.292 0.555
Cl 0.854 0.708 0.055
Cl 0.146 0.292 0.945
Hg 0.000 0.000 0.500
CELL_PARAMETERS angstrom
4.476 0.000 0.000
-2.238 7.873 0.000
0.000 0.000 10.121
```

crystal system: orthorhombic
formation energy (no corrections): -1.08 eV/atom
ΔE to the lowest computed polymorph: 15.0 meV per atom


[7]
A plane-wave DFT calculation with PBE was carried out for a relaxed Pm4PuTh3S8 crystal. Values from VASP.

Geometry as Quantum ESPRESSO input:
```
&SYSTEM
  ibrav = 0, nat = 16, ntyp = 4
/
ATOMIC_SPECIES
S 32.06 S.upf
Th 232.04 Th.upf
Pu 244.00 Pu.upf
Pm 145.00 Pm.upf
ATOMIC_POSITIONS crystal
S 0.752 0.251 0.504
Th 0.500 0.500 0.000
S 0.247 0.251 0.999
S 0.248 0.749 0.496
S 0.248 0.749 0.001
Pu 0.000 0.500 0.000
S 0.249 0.247 0.498
Th 0.000 0.500 0.500
S 0.752 0.251 0.999
Pm 0.000 0.000 0.000
Th 0.500 0.500 0.500
S 0.751 0.753 0.502
Pm 0.500 0.000 0.500
Pm 0.000 0.000 0.500
Pm 0.500 0.000 0.000
S 0.753 0.749 0.001
CELL_PARAMETERS angstrom
8.022 0.000 0.000
0.000 8.084 0.038
-4.011 -4.007 5.675
```

crystal system: trigonal
formation energy (no corrections): -1.93 eV/atom


[8]
A plane-wave DFT calculation with PBE was carried out for a relaxed LaSmY3Th crystal. Values from VASP.

Geometry as Quantum ESPRESSO input:
```
&SYSTEM
  ibrav = 0, nat = 12, ntyp = 4
/
ATOMIC_SPECIES
La 138.91 La.upf
Sm 150.36 Sm.upf
Th 232.04 Th.upf
Y 88.91 Y.upf
ATOMIC_POSITIONS crystal
La 0.750 0.881 0.708
Sm 0.750 0.870 0.370
Th 0.750 0.380 0.879
Y 0.250 0.135 0.959
Sm 0.250 0.130 0.630
Y 0.750 0.383 0.205
La 0.250 0.119 0.292
Y 0.250 0.617 0.795
Y 0.250 0.624 0.454
Y 0.750 0.376 0.546
Th 0.250 0.620 0.121
Y 0.750 0.865 0.041
CELL_PARAMETERS angstrom
5.116 0.000 0.000
0.000 7.973 -1.265
0.000 -3.156 10.338
```

crystal system: monoclinic
calculated formation energy: 0.0346 eV per atom


- What is the formula in the seventh record?
  Pm4PuTh3S8